Below is a geometry-optimized CaTl2Pt structure, with properties calculated at the PBE level.

POSCAR file:
```
CaTl2Pt
1.0
4.394 0.000 0.000
0.000 4.511 0.000
0.000 0.000 4.856
Ca Tl Pt
1 2 1
Cartesian
0.000 0.000 0.000 Ca
0.000 2.256 2.428 Tl
2.197 0.000 2.428 Tl
2.197 2.256 0.000 Pt
```

Formation energy from the elements: -0.292 eV per atom
Crystal system: orthorhombic
Total DFT energy (no corrections): -3.485 eV per atom